1.
SrAl3Tc | GGA-PBE | optimized geometry

Values from the calculation:
Relative energy among the computed polymorphs = 0.1801 eV/atom
Fermi-level density of states = 0.286 states/eV/atom
Formation enthalpy at 0 K = -0.14 eV per atom
ρ = 3.8 g/cm3

Cell: 4.4275 7.4075 7.1272 Å, 90.00 90.00 90.00°
Positions (direct):
Sr 0.7500 0.2500 0.3467
Sr 0.2500 0.7500 0.6533
Al 0.2500 0.2500 0.6919
Al 0.7500 0.5779 0.9771
Al 0.7500 0.9221 0.9771
Al 0.2500 0.4221 0.0229
Al 0.2500 0.0779 0.0229
Al 0.7500 0.7500 0.3081
Tc 0.2500 0.7500 0.1403
Tc 0.7500 0.2500 0.8597

=====

2.
TiAl2Ni8 | GGA-PBE | optimized geometry

Values from the calculation:
Fermi-level density of states = 0.879 states/eV/atom
Formation enthalpy at 0 K = -0.26 eV per atom
ρ = 7.1 g/cm3

Cell: 4.3236 6.5342 7.0163 Å, 62.25 72.49 49.74°
Positions (direct):
Ni 0.2693 0.4769 0.0000
Ni 0.7738 0.1040 0.2658
Ni 0.2262 0.6302 0.2658
Ni 0.5000 0.8053 0.3893
Ni 0.7738 0.3698 0.7342
Ni 0.2262 0.8960 0.7342
Ni 0.7307 0.5231 0.0000
Ni 0.5000 0.1947 0.6107
Al 0.0000 0.3144 0.3711
Al 0.0000 0.6856 0.6289
Ti 0.5000 0.0000 0.0000

=====

3.
CsBaTl3 | GGA-PBE | optimized geometry

Values from the calculation:
Relative energy among the computed polymorphs = 0.0000 eV/atom
Fermi-level density of states = 1.997 states/eV/atom
Formation enthalpy at 0 K = 0.26 eV per atom
ρ = 5.0 g/cm3

Cell: 6.6289 6.6289 6.6289 Å, 90.00 90.00 90.00°
Positions (direct):
Tl 0.0000 0.0000 0.5000
Tl 0.0000 0.5000 0.0000
Tl 0.5000 0.0000 0.0000
Cs 0.5000 0.5000 0.5000
Ba 0.0000 0.0000 0.0000

=====

4.
NbP4S10Cl5 | GGA-PBE | optimized geometry

Values from the calculation:
E_form (uncorrected) = -0.487 eV/atom
ρ = 1.8 g/cm3

Cell: 10.4095 11.9488 12.4971 Å, 70.45 67.39 67.40°
Positions (direct):
Cl 0.1884 0.9582 0.2642
Cl 0.1359 0.0081 0.5277
Cl 0.8116 0.0418 0.7358
Cl 0.9113 0.2114 0.2100
Cl 0.8641 0.9919 0.4723
Cl 0.2109 0.2300 0.2697
Cl 0.0887 0.7886 0.7900
Cl 0.1239 0.7299 0.5331
Cl 0.7891 0.7700 0.7303
Cl 0.8761 0.2701 0.4669
S 0.9276 0.8659 0.1473
S 0.1428 0.3486 0.5882
S 0.4172 0.0837 0.6524
S 0.1820 0.6071 0.2132
S 0.5828 0.9163 0.3476
S 0.3425 0.8868 0.9103
S 0.0724 0.1341 0.8527
S 0.6440 0.8443 0.0832
S 0.4266 0.3700 0.6523
S 0.5734 0.6300 0.3477
S 0.6575 0.1132 0.0897
S 0.8572 0.6514 0.4118
S 0.8180 0.3929 0.7868
S 0.0816 0.4201 0.8528
S 0.4758 0.2965 0.4040
S 0.3560 0.1557 0.9168
S 0.9184 0.5799 0.1472
S 0.5242 0.7035 0.5960
S 0.3585 0.4334 0.9105
S 0.6415 0.5666 0.0895
Nb 0.0367 0.1295 0.3475
Nb 0.9633 0.8705 0.6525
P 0.0227 0.3257 0.7706
P 0.3075 0.3473 0.8348
P 0.7019 0.9395 0.1650
P 0.6925 0.6527 0.1652
P 0.3687 0.2752 0.5699
P 0.6313 0.7248 0.4301
P 0.2981 0.0605 0.8350
P 0.9773 0.6743 0.2294

=====

5.
KSbBr4 | GGA-PBE | optimized geometry

Values from the calculation:
Relative energy among the computed polymorphs = 0.0100 eV/atom
Fermi-level density of states = 0.000 states/eV/atom
E_form (uncorrected) = -0.996 eV/atom
ρ = 3.5 g/cm3

Cell: 7.3360 8.1873 9.2498 Å, 110.41 106.97 103.69°
Positions (direct):
Sb 0.8286 0.0786 0.1572
Sb 0.1714 0.9214 0.8428
Br 0.2747 0.9652 0.6052
Br 0.4216 0.7100 0.8984
Br 0.0232 0.8116 0.1016
Br 0.1695 0.3600 0.3948
Br 0.5784 0.2900 0.1016
Br 0.9768 0.1884 0.8984
Br 0.7253 0.0348 0.3948
Br 0.8305 0.6400 0.6052
K 0.3630 0.6130 0.2260
K 0.6370 0.3870 0.7740

=====

6.
NdGa3Au3 | GGA-PBE | optimized geometry

Values from the calculation:
Relative energy among the computed polymorphs = 0.0000 eV/atom
Fermi-level density of states = 0.354 states/eV/atom
Formation enthalpy at 0 K = -0.38 eV per atom
ρ = 9.2 g/cm3

Cell: 4.8215 9.0591 9.0561 Å, 120.03 90.00 90.00°
Positions (direct):
Au 0.7500 0.9252 0.5990
Au 0.2500 0.5986 0.6735
Au 0.2500 0.3267 0.9251
Au 0.2500 0.0748 0.4010
Au 0.7500 0.6733 0.0749
Au 0.7500 0.4014 0.3265
Ga 0.2500 0.3260 0.3546
Ga 0.7500 0.9710 0.3262
Ga 0.2500 0.6454 0.9714
Ga 0.7500 0.6740 0.6454
Ga 0.7500 0.3546 0.0286
Ga 0.2500 0.0290 0.6738
Nd 0.2500 0.6667 0.3335
Nd 0.7500 0.3333 0.6665